P:
This record from Alexandria describes a PBEsol-optimized structure of KBaAg2. The functional is SCAN.

Calculated values
Volume   149.86 Å³ per cell

Geometry as extended XYZ:
```
4
Lattice="-3.766 2.862 -0.225 -1.000 -0.961 4.526 3.799 5.151 1.933" Properties=species:S:1:pos:R:3 pbc="T T T"
K -0.483 3.526 3.117
Ag 1.900 2.575 0.966
Ag -2.383 0.951 2.150
Ba 0.000 0.000 0.000
```

***

Q:
This record from Alexandria describes a PBEsol-optimized structure of KBaAg2. The functional is SCAN.

Calculated values
Volume   134.79 Å³ per cell

Geometry as extended XYZ:
```
4
Lattice="-0.942 -1.748 -4.162 3.832 -2.903 0.352 -2.992 -3.386 4.654" Properties=species:S:1:pos:R:3 pbc="T T T"
Ba -0.739 -0.909 0.549
Ag 0.148 -3.921 -0.941
K -0.796 -4.788 2.191
Ag -2.601 -3.493 -0.499
```

***

R:
This record from Alexandria describes a PBEsol-optimized structure of KBaAg2. The functional is SCAN.

Calculated values
Volume   126.16 Å³ per cell

Geometry as extended XYZ:
```
4
Lattice="5.630 0.000 0.000 2.815 4.875 0.000 2.815 1.625 4.597" Properties=species:S:1:pos:R:3 pbc="T T T"
K 0.000 0.000 0.000
Ag 8.444 4.875 3.447
Ag 2.815 1.625 1.149
Ba 5.630 3.250 2.298
```

***

What should be chosen as the most stable of them? Choose Q.

***

P:
This record from Alexandria describes a PBEsol-optimized structure of KBa2Ag. The functional is SCAN.

Calculated values
Volume   184.69 Å³ per cell

Geometry as extended XYZ:
```
4
Lattice="4.085 0.000 0.000 0.000 4.085 0.000 0.000 0.000 11.066" Properties=species:S:1:pos:R:3 pbc="T T T"
Ag 2.043 2.043 5.533
K 2.043 2.043 0.000
Ba 0.000 0.000 7.425
Ba 0.000 0.000 3.642
```

***

Q:
This record from Alexandria describes a PBEsol-optimized structure of KBa2Ag. The functional is SCAN.

Calculated values
Volume   218.46 Å³ per cell

Geometry as extended XYZ:
```
4
Lattice="4.747 0.000 0.000 2.373 4.111 0.000 2.373 1.370 11.196" Properties=species:S:1:pos:R:3 pbc="T T T"
Ba 7.120 4.111 9.410
K 4.747 2.741 5.598
Ag 0.000 0.000 0.000
Ba 2.373 1.370 1.786
```

***

What should be chosen as the most stable of them? Choose P.